# LiMg2Cd

A crystal of LiMg2Cd relaxed with PBEsol (meta-GGA SCAN, Alexandria via LeMat-Bulk).

Unit cell a=2.974 b=4.728 c=5.738 alpha=90.00 beta=100.50 gamma=90.00
Element x y z (fractional)
Li (0.000, 0.000, 0.000)
Mg (0.229, 0.500, 0.754)
Mg (0.771, 0.500, 0.246)
Cd (0.500, 0.000, 0.500)

Calculated values
The value obtained for the energy of formation is -0.14 eV/atom. The calculation puts the total moment at 0.000 μB/f.u. The total energy is -10.830 eV per atom.

=====

# LiTeBrN2

A crystal of LiTeBrN2 relaxed with PBEsol (meta-GGA SCAN, Alexandria via LeMat-Bulk).

Unit cell a=4.117 b=4.117 c=5.625 alpha=90.00 beta=90.00 gamma=90.00
Element x y z (fractional)
Li (0.000, 0.000, 0.000)
Te (0.500, 0.500, 0.000)
Br (0.500, 0.500, 0.500)
N (0.000, 0.500, 0.500)
N (0.500, 0.000, 0.500)

Calculated values
The calculation puts the total moment at 2.832 μB/f.u. The total energy is -13.790 eV per atom.

=====

# InNiAu

A crystal of InNiAu relaxed with PBEsol (meta-GGA SCAN, Alexandria via LeMat-Bulk).

Unit cell a=4.338 b=4.338 c=2.947 alpha=90.00 beta=90.00 gamma=120.00
Element x y z (fractional)
In (0.000, 0.000, 0.000)
Ni (0.667, 0.333, 0.268)
Au (0.333, 0.667, 0.599)

Calculated values
The value obtained for the energy of formation is 0.05 eV/atom. The calculation puts the total moment at 0.002 μB/f.u. The total energy is -39.526 eV per atom.

=====

# Y2ZnH

A crystal of Y2ZnH relaxed with PBEsol (meta-GGA SCAN, Alexandria via LeMat-Bulk).

Unit cell a=4.797 b=4.797 c=4.797 alpha=60.00 beta=60.00 gamma=60.00
Element x y z (fractional)
Y (0.250, 0.250, 0.250)
Y (0.750, 0.750, 0.750)
Zn (0.000, 0.000, 0.000)
H (0.500, 0.500, 0.500)

Calculated values
The calculation puts the total moment at 0.000 μB/f.u. The total energy is -18.216 eV per atom.

=====

# Mn2PdI2

A crystal of Mn2PdI2 relaxed with PBEsol (meta-GGA SCAN, Alexandria via LeMat-Bulk).

Unit cell a=8.035 b=8.035 c=8.035 alpha=154.41 beta=154.41 gamma=36.51
Element x y z (fractional)
Mn (0.250, 0.750, 0.500)
Mn (0.750, 0.250, 0.500)
Pd (0.000, 0.000, 0.000)
I (0.380, 0.380, 0.000)
I (0.620, 0.620, 0.000)

Calculated values
The calculation puts the total moment at 5.755 μB/f.u. The total energy is -28.143 eV per atom.

=====

# SrBiTe2Pd

A crystal of SrBiTe2Pd relaxed with PBEsol (meta-GGA SCAN, Alexandria via LeMat-Bulk).

Unit cell a=5.453 b=5.453 c=5.158 alpha=90.00 beta=90.00 gamma=90.00
Element x y z (fractional)
Sr (0.000, 0.000, 0.000)
Bi (0.500, 0.500, 0.000)
Te (0.000, 0.500, 0.500)
Te (0.500, 0.000, 0.500)
Pd (0.500, 0.500, 0.500)

Calculated values
The calculation puts the total moment at 0.000 μB/f.u. The total energy is -42.133 eV per atom.

=====

# LiCaRh2

A crystal of LiCaRh2 relaxed with PBEsol (meta-GGA SCAN, Alexandria via LeMat-Bulk).

Unit cell a=9.623 b=9.623 c=9.623 alpha=17.28 beta=17.28 gamma=17.28
Element x y z (fractional)
Li (0.000, 0.000, 0.000)
Ca (0.226, 0.226, 0.226)
Rh (0.478, 0.478, 0.478)
Rh (0.739, 0.739, 0.739)

Calculated values
The value obtained for the energy of formation is 0.37 eV/atom. The calculation puts the total moment at 0.000 μB/f.u. The total energy is -19.529 eV per atom.

=====

# Zr3CO

A crystal of Zr3CO relaxed with PBEsol (meta-GGA SCAN, Alexandria via LeMat-Bulk).

Unit cell a=4.236 b=4.236 c=4.236 alpha=90.00 beta=90.00 gamma=90.00
Element x y z (fractional)
Zr (0.000, 0.000, 0.500)
Zr (0.000, 0.500, 0.000)
Zr (0.500, 0.000, 0.000)
C (0.500, 0.500, 0.500)
O (0.000, 0.000, 0.000)

Calculated values
The calculation puts the total moment at 0.001 μB/f.u. The total energy is -21.888 eV per atom.

=====

# BeTlSe2

A crystal of BeTlSe2 relaxed with PBEsol (meta-GGA SCAN, Alexandria via LeMat-Bulk).

Unit cell a=4.834 b=4.834 c=4.834 alpha=60.00 beta=60.00 gamma=60.00
Element x y z (fractional)
Be (0.000, 0.000, 0.000)
Tl (0.750, 0.750, 0.750)
Se (0.250, 0.250, 0.250)
Se (0.500, 0.500, 0.500)

Calculated values
The calculation puts the total moment at 0.000 μB/f.u. The total energy is -28.545 eV per atom. The relative energy among the computed polymorphs is 1086.4 meV/atom.

=====

# Cu2RePt

A crystal of Cu2RePt relaxed with PBEsol (meta-GGA SCAN, Alexandria via LeMat-Bulk).

Unit cell a=2.703 b=2.703 c=7.155 alpha=90.00 beta=90.00 gamma=90.00
Element x y z (fractional)
Cu (0.000, 0.000, 0.000)
Cu (0.500, 0.500, 0.221)
Re (0.500, 0.500, 0.746)
Pt (0.000, 0.000, 0.481)

Calculated values
The value obtained for the energy of formation is 0.01 eV/atom. The calculation puts the total moment at 0.000 μB/f.u. The total energy is -42.914 eV per atom. The relative energy among the computed polymorphs is 0.0 meV/atom.

=====

# Cr2SiRu

A crystal of Cr2SiRu relaxed with PBEsol (meta-GGA SCAN, Alexandria via LeMat-Bulk).

Unit cell a=4.060 b=4.060 c=4.060 alpha=60.00 beta=60.00 gamma=60.00
Element x y z (fractional)
Cr (0.000, 0.000, 0.000)
Cr (0.250, 0.250, 0.250)
Si (0.500, 0.500, 0.500)
Ru (0.750, 0.750, 0.750)

Calculated values
The calculation puts the total moment at 0.001 μB/f.u. The total energy is -20.767 eV per atom.

=====

# TlMoP2

A crystal of TlMoP2 relaxed with PBEsol (meta-GGA SCAN, Alexandria via LeMat-Bulk).

Unit cell a=3.153 b=3.153 c=8.376 alpha=90.00 beta=90.00 gamma=90.00
Element x y z (fractional)
Tl (0.000, 0.000, 0.000)
Mo (0.500, 0.500, 0.464)
P (0.000, 0.000, 0.350)
P (0.500, 0.500, 0.726)

Calculated values
The value obtained for the energy of formation is 0.16 eV/atom. The calculation puts the total moment at 0.000 μB/f.u. The total energy is -31.851 eV per atom. The relative energy among the computed polymorphs is 0.0 meV/atom.

=====

# Ta5Re

A crystal of Ta5Re relaxed with PBEsol (meta-GGA SCAN, Alexandria via LeMat-Bulk).

Unit cell a=3.216 b=3.216 c=9.862 alpha=90.00 beta=90.00 gamma=90.00
Element x y z (fractional)
Ta (0.000, 0.000, 0.000)
Ta (0.000, 0.000, 0.342)
Ta (0.000, 0.000, 0.658)
Ta (0.500, 0.500, 0.168)
Ta (0.500, 0.500, 0.832)
Re (0.500, 0.500, 0.500)

Calculated values
The value obtained for the energy of formation is -0.20 eV/atom. The calculation puts the total moment at 0.000 μB/f.u. The total energy is -67.540 eV per atom. The relative energy among the computed polymorphs is 0.5 meV/atom.

=====

# In2PtRh

A crystal of In2PtRh relaxed with PBEsol (meta-GGA SCAN, Alexandria via LeMat-Bulk).

Unit cell a=4.762 b=4.762 c=4.762 alpha=126.99 beta=126.99 gamma=78.26
Element x y z (fractional)
In (0.250, 0.750, 0.500)
In (0.750, 0.250, 0.500)
Pt (0.000, 0.000, 0.000)
Rh (0.500, 0.500, 0.000)

Calculated values
The value obtained for the energy of formation is -0.44 eV/atom. The calculation puts the total moment at 0.000 μB/f.u. The total energy is -43.125 eV per atom.

=====

# Ta2CrCl

A crystal of Ta2CrCl relaxed with PBEsol (meta-GGA SCAN, Alexandria via LeMat-Bulk).

Unit cell a=4.516 b=4.516 c=4.516 alpha=60.00 beta=60.00 gamma=60.00
Element x y z (fractional)
Ta (0.000, 0.000, 0.000)
Ta (0.250, 0.250, 0.250)
Cr (0.500, 0.500, 0.500)
Cl (0.750, 0.750, 0.750)

Calculated values
The calculation puts the total moment at 2.860 μB/f.u. The total energy is -38.980 eV per atom. The relative energy among the computed polymorphs is 836.5 meV/atom.

=====

# ReSi2Rh

A crystal of ReSi2Rh relaxed with PBEsol (meta-GGA SCAN, Alexandria via LeMat-Bulk).

Unit cell a=7.923 b=7.923 c=7.923 alpha=20.75 beta=20.75 gamma=20.75
Element x y z (fractional)
Re (0.000, 0.000, 0.000)
Si (0.255, 0.255, 0.255)
Si (0.503, 0.503, 0.503)
Rh (0.762, 0.762, 0.762)

Calculated values
The calculation puts the total moment at 0.000 μB/f.u. The total energy is -31.304 eV per atom. The relative energy among the computed polymorphs is 449.6 meV/atom.

=====

# ScBe2TcHg

A crystal of ScBe2TcHg relaxed with PBEsol (meta-GGA SCAN, Alexandria via LeMat-Bulk).

Unit cell a=4.241 b=4.241 c=5.111 alpha=90.00 beta=90.00 gamma=90.00
Element x y z (fractional)
Sc (0.000, 0.000, 0.000)
Be (0.000, 0.500, 0.500)
Be (0.500, 0.000, 0.500)
Tc (0.500, 0.500, 0.000)
Hg (0.500, 0.500, 0.500)

Calculated values
The value obtained for the energy of formation is 0.80 eV/atom. The calculation puts the total moment at 1.531 μB/f.u. The total energy is -24.433 eV per atom.

=====

# K2InBi2

A crystal of K2InBi2 relaxed with PBEsol (meta-GGA SCAN, Alexandria via LeMat-Bulk).

Unit cell a=8.025 b=8.025 c=5.662 alpha=90.00 beta=90.00 gamma=90.00
Element x y z (fractional)
K (0.166, 0.334, 0.000)
K (0.334, 0.834, 0.000)
K (0.666, 0.166, 0.000)
K (0.834, 0.666, 0.000)
In (0.000, 0.000, 0.500)
In (0.500, 0.500, 0.500)
Bi (0.139, 0.639, 0.500)
Bi (0.361, 0.139, 0.500)
Bi (0.639, 0.861, 0.500)
Bi (0.861, 0.361, 0.500)

Calculated values
The value obtained for the energy of formation is -0.35 eV/atom. The calculation puts the total moment at 0.000 μB/f.u. The total energy is -41.792 eV per atom.

=====

# MgZnTcSn2

A crystal of MgZnTcSn2 relaxed with PBEsol (meta-GGA SCAN, Alexandria via LeMat-Bulk).

Unit cell a=5.002 b=5.002 c=4.783 alpha=90.00 beta=90.00 gamma=90.00
Element x y z (fractional)
Mg (0.000, 0.000, 0.000)
Zn (0.500, 0.500, 0.500)
Tc (0.500, 0.500, 0.000)
Sn (0.000, 0.500, 0.500)
Sn (0.500, 0.000, 0.500)

Calculated values
The value obtained for the energy of formation is 0.82 eV/atom. The calculation puts the total moment at 2.726 μB/f.u. The total energy is -24.253 eV per atom.

=====

# TlWCl

A crystal of TlWCl relaxed with PBEsol (meta-GGA SCAN, Alexandria via LeMat-Bulk).

Unit cell a=4.517 b=4.517 c=4.517 alpha=60.00 beta=60.00 gamma=60.00
Element x y z (fractional)
Tl (0.000, 0.000, 0.000)
W (0.750, 0.750, 0.750)
Cl (0.500, 0.500, 0.500)

Calculated values
The calculation puts the total moment at 1.166 μB/f.u. The total energy is -48.524 eV per atom. The relative energy among the computed polymorphs is 827.7 meV/atom.

=====

# MgZnRuRh2

A crystal of MgZnRuRh2 relaxed with PBEsol (meta-GGA SCAN, Alexandria via LeMat-Bulk).

Unit cell a=4.576 b=4.576 c=4.787 alpha=90.00 beta=90.00 gamma=90.00
Element x y z (fractional)
Mg (0.000, 0.000, 0.000)
Zn (0.500, 0.500, 0.000)
Ru (0.000, 0.000, 0.500)
Rh (0.000, 0.500, 0.500)
Rh (0.500, 0.000, 0.500)

Calculated values
The value obtained for the energy of formation is 0.97 eV/atom. The calculation puts the total moment at 0.000 μB/f.u. The total energy is -23.198 eV per atom.

=====

# Rb2BiC

A crystal of Rb2BiC relaxed with PBEsol (meta-GGA SCAN, Alexandria via LeMat-Bulk).

Unit cell a=5.862 b=5.862 c=5.862 alpha=60.00 beta=60.00 gamma=60.00
Element x y z (fractional)
Rb (0.250, 0.250, 0.250)
Rb (0.750, 0.750, 0.750)
Bi (0.000, 0.000, 0.000)
C (0.500, 0.500, 0.500)

Calculated values
The value obtained for the energy of formation is 1.23 eV/atom. The calculation puts the total moment at 1.000 μB/f.u. The total energy is -31.309 eV per atom. The relative energy among the computed polymorphs is 413.2 meV/atom.

=====

# K3SbS3

A crystal of K3SbS3 relaxed with PBEsol (meta-GGA SCAN, Alexandria via LeMat-Bulk).

Unit cell a=9.380 b=9.380 c=9.380 alpha=90.00 beta=90.00 gamma=90.00
Element x y z (fractional)
K (0.061, 0.061, 0.061)
K (0.066, 0.934, 0.434)
K (0.176, 0.324, 0.676)
K (0.324, 0.676, 0.176)
K (0.434, 0.066, 0.934)
K (0.439, 0.939, 0.561)
K (0.561, 0.439, 0.939)
K (0.566, 0.566, 0.566)
K (0.676, 0.176, 0.324)
K (0.824, 0.824, 0.824)
K (0.934, 0.434, 0.066)
K (0.939, 0.561, 0.439)
Sb (0.219, 0.719, 0.781)
Sb (0.281, 0.281, 0.281)
Sb (0.719, 0.781, 0.219)
Sb (0.781, 0.219, 0.719)
S (0.032, 0.254, 0.352)
S (0.148, 0.968, 0.754)
S (0.246, 0.648, 0.532)
S (0.254, 0.352, 0.032)
S (0.352, 0.032, 0.254)
S (0.468, 0.746, 0.852)
S (0.532, 0.246, 0.648)
S (0.648, 0.532, 0.246)
S (0.746, 0.852, 0.468)
S (0.754, 0.148, 0.968)
S (0.852, 0.468, 0.746)
S (0.968, 0.754, 0.148)

Calculated values
The calculation puts the total moment at 0.000 μB/f.u. The total energy is -14.162 eV per atom.

=====

# TaCu2Rh

A crystal of TaCu2Rh relaxed with PBEsol (meta-GGA SCAN, Alexandria via LeMat-Bulk).

Unit cell a=4.652 b=4.652 c=4.652 alpha=132.63 beta=132.63 gamma=69.23
Element x y z (fractional)
Ta (0.000, 0.000, 0.000)
Cu (0.500, 0.500, 0.000)
Cu (0.750, 0.250, 0.500)
Rh (0.250, 0.750, 0.500)

Calculated values
The value obtained for the energy of formation is -0.23 eV/atom. The calculation puts the total moment at 0.000 μB/f.u. The total energy is -32.915 eV per atom.

=====

# CuPt

A crystal of CuPt relaxed with PBEsol (meta-GGA SCAN, Alexandria via LeMat-Bulk).

Unit cell a=4.621 b=5.341 c=6.495 alpha=90.00 beta=90.26 gamma=90.00
Element x y z (fractional)
Cu (0.000, 0.000, 0.000)
Cu (0.000, 0.500, 0.000)
Cu (0.333, 0.000, 0.672)
Cu (0.500, 0.241, 0.000)
Cu (0.500, 0.759, 0.000)
Cu (0.667, 0.000, 0.328)
Pt (0.169, 0.246, 0.322)
Pt (0.169, 0.754, 0.322)
Pt (0.334, 0.500, 0.681)
Pt (0.666, 0.500, 0.319)
Pt (0.831, 0.246, 0.678)
Pt (0.831, 0.754, 0.678)

Calculated values
The value obtained for the energy of formation is -0.13 eV/atom. The calculation puts the total moment at 0.000 μB/f.u. The total energy is -42.829 eV per atom.

=====

# BaFeSbI2

A crystal of BaFeSbI2 relaxed with PBEsol (meta-GGA SCAN, Alexandria via LeMat-Bulk).

Unit cell a=5.493 b=5.493 c=5.103 alpha=90.00 beta=90.00 gamma=90.00
Element x y z (fractional)
Ba (0.000, 0.000, 0.000)
Fe (0.500, 0.500, 0.500)
Sb (0.500, 0.500, 0.000)
I (0.000, 0.500, 0.500)
I (0.500, 0.000, 0.500)

Calculated values
The calculation puts the total moment at 3.048 μB/f.u. The total energy is -34.203 eV per atom.

=====

# Mg2Mn3CrS8

A crystal of Mg2Mn3CrS8 relaxed with PBEsol (meta-GGA SCAN, Alexandria via LeMat-Bulk).

Unit cell a=7.041 b=7.041 c=7.041 alpha=59.27 beta=59.27 gamma=59.27
Element x y z (fractional)
Mg (0.126, 0.126, 0.126)
Mg (0.874, 0.874, 0.874)
Mn (0.000, 0.500, 0.500)
Mn (0.500, 0.000, 0.500)
Mn (0.500, 0.500, 0.000)
Cr (0.500, 0.500, 0.500)
S (0.262, 0.262, 0.706)
S (0.262, 0.706, 0.262)
S (0.265, 0.265, 0.265)
S (0.294, 0.738, 0.738)
S (0.706, 0.262, 0.262)
S (0.735, 0.735, 0.735)
S (0.738, 0.294, 0.738)
S (0.738, 0.738, 0.294)

Calculated values
The calculation puts the total moment at 8.999 μB/f.u. The total energy is -12.490 eV per atom.